DFT (GGA-PBEsol) results for Hg2IrRh after structural relaxation.

a b c (Å): 2.908 4.904 5.482
angles (deg): 116.57 105.38 90.00
Atoms (fractional coordinates):
Hg 0.748 0.748 0.497
Hg 0.252 0.252 0.503
Ir 0.500 0.000 0.000
Rh 0.000 0.500 0.000

Properties
**Calculated volume**: 66.77 Å³/f.u.
**Space-group type**: Immm (71)
**Final energy**: -17.5 eV per formula unit
**Formation energy from the elements**: 0.409 eV per atom
**Fermi-level density of states**: 3.3 states/eV per cell
**M_tot**: 0.0 Bohr magnetons per cell

DFT (GGA-PBEsol) results for Ca4TlRe after structural relaxation.

a b c (Å): 6.003 6.003 6.003
angles (deg): 60.00 60.00 60.00
Last column: magnetic moment on the atom in μB.
Atoms (fractional coordinates):
Ca 0.376 0.376 0.376  -0.02
Ca 0.376 0.376 0.871  -0.02
Ca 0.871 0.376 0.376  -0.02
Ca 0.376 0.871 0.376  -0.02
Re 0.750 0.750 0.750  -1.02
Tl 0.000 0.000 0.000  0.00

Properties
**Calculated volume**: 152.95 Å³/f.u.
**Space-group type**: F-43m (216)
**Final energy**: -18.5 eV per formula unit
**Formation energy from the elements**: 1.007 eV per atom
**Fermi-level density of states**: 10.0 states/eV per cell
**M_tot**: 1.6 Bohr magnetons per cell

DFT (GGA-PBEsol) results for BaAs2Pb after structural relaxation.

a b c (Å): 5.344 5.344 5.344
angles (deg): 60.00 60.00 60.00
Atoms (fractional coordinates):
Pb 0.250 0.250 0.250
As 0.000 0.000 0.000
As 0.750 0.750 0.750
Ba 0.500 0.500 0.500

Properties
**Calculated volume**: 107.94 Å³/f.u.
**Space-group type**: F-43m (216)
**Final energy**: -16.8 eV per formula unit
**Formation energy from the elements**: -0.102 eV per atom
**Fermi-level density of states**: 2.4 states/eV per cell
**M_tot**: 0.0 Bohr magnetons per cell

DFT (GGA-PBEsol) results for ZnCu2Ni after structural relaxation.

a b c (Å): 4.012 4.012 4.012
angles (deg): 60.00 60.00 60.00
Atoms (fractional coordinates):
Ni 0.500 0.500 0.500
Zn 0.250 0.250 0.250
Cu 0.000 0.000 0.000
Cu 0.750 0.750 0.750

Properties
**Calculated volume**: 45.68 Å³/f.u.
**Space-group type**: F-43m (216)
**Final energy**: -16.7 eV per formula unit
**Formation energy from the elements**: -0.081 eV per atom
**Fermi-level density of states**: 1.9 states/eV per cell
**M_tot**: 0.0 Bohr magnetons per cell

DFT (GGA-PBEsol) results for CuB2Mo after structural relaxation.

a b c (Å): 3.781 3.781 3.781
angles (deg): 60.00 60.00 60.00
Atoms (fractional coordinates):
Mo 0.500 0.500 0.500
B 0.250 0.250 0.250
B 0.750 0.750 0.750
Cu 0.000 0.000 0.000

Properties
**Calculated volume**: 38.21 Å³/f.u.
**Space-group type**: Fm-3m (225)
**Final energy**: -28.2 eV per formula unit
**Formation energy from the elements**: 0.484 eV per atom
**Fermi-level density of states**: 1.9 states/eV per cell
**M_tot**: 0.0 Bohr magnetons per cell

DFT (GGA-PBEsol) results for SrCdHg2 after structural relaxation.

a b c (Å): 3.669 3.860 7.161
angles (deg): 90.00 90.14 90.00
Atoms (fractional coordinates):
Sr 0.500 0.500 0.000
Hg 0.999 0.000 0.721
Hg 0.001 0.000 0.279
Cd 0.500 0.500 0.500

Properties
**Calculated volume**: 101.43 Å³/f.u.
**Space-group type**: P2/m (10)
**Final energy**: -5.6 eV per formula unit
**Formation energy from the elements**: -0.356 eV per atom
**Fermi-level density of states**: 1.7 states/eV per cell
**M_tot**: 0.0 Bohr magnetons per cell

Q: calculated volume of number 1 (Hg2IrRh)?
A: 66.77 Å³/f.u.

Q: M_tot of number 2 (Ca4TlRe)?
A: 1.6 Bohr magnetons per cell